# 1
Compound: TaCdNiPb
Source: the Open Quantum Materials Database
Functional: PBE
Structure: optimized geometry

Values from the calculation:
Crystal system: cubic
Magnetic moment in μB per atom: 0.066
Calculated total energy in eV per cell: -77.896

abc: 6.705 6.705 6.705
angles: 90.00 90.00 90.00
Space group F-43m (No. 216)
Asymmetric unit:
Ta: 0.000 0.000 0.000 [4 per cell]
Cd: 0.250 0.250 0.750 [4 per cell]
Ni: 0.000 0.000 0.500 [4 per cell]
Pb: 0.250 0.250 0.250 [4 per cell]

=====

# 2
Compound: CdTcNiPb
Source: the Open Quantum Materials Database
Functional: PBE
Structure: optimized geometry

Values from the calculation:
Crystal system: cubic
Magnetic moment in μB per atom: 0.003
Calculated total energy in eV per cell: -74.449

abc: 6.499 6.499 6.499
angles: 90.00 90.00 90.00
Space group F-43m (No. 216)
Asymmetric unit:
Cd: 0.000 0.000 0.000 [4 per cell]
Tc: 0.250 0.250 0.250 [4 per cell]
Ni: 0.250 0.250 0.750 [4 per cell]
Pb: 0.000 0.000 0.500 [4 per cell]

=====

# 3
Compound: CdNiTe3Pb
Source: the Open Quantum Materials Database
Functional: PBE
Structure: optimized geometry

Values from the calculation:
Crystal system: orthorhombic
Magnetic moment in μB per atom: 0.002
Energy above the lowest structure with this stoichiometry in meV/atom: 49

abc: 4.019 14.373 11.774
angles: 90.00 90.00 90.00
Space group Cmcm (No. 63)
Asymmetric unit:
Cd: 0.000 0.041 0.250 [4 per cell]
Ni: 0.000 0.500 0.000 [4 per cell]
Te: 0.000 0.115 0.031 [8 per cell]
Te: 0.000 0.395 0.250 [4 per cell]
Pb: 0.000 0.265 0.750 [4 per cell]

=====

# 4
Compound: CdNiTe3Pb
Source: the Open Quantum Materials Database
Functional: PBE
Structure: optimized geometry

Values from the calculation:
Crystal system: orthorhombic
Magnetic moment in μB per atom: 0.017
Energy above the lowest structure with this stoichiometry in meV/atom: 0

abc: 4.037 14.838 10.937
angles: 90.00 90.00 90.00
Space group Cmcm (No. 63)
Asymmetric unit:
Cd: 0.000 0.000 0.000 [4 per cell]
Ni: 0.000 0.466 0.250 [4 per cell]
Te: 0.000 0.071 0.250 [4 per cell]
Te: 0.000 0.356 0.066 [8 per cell]
Pb: 0.000 0.244 0.750 [4 per cell]

=====

# 5
Compound: CdNiPd2
Source: the Open Quantum Materials Database
Functional: PBE
Structure: optimized geometry

Values from the calculation:
Crystal system: cubic
Formation energy in meV per atom: -73
Magnetic moment in μB per atom: 0.000

abc: 6.275 6.275 6.275
angles: 90.00 90.00 90.00
Space group F-43m (No. 216)
Asymmetric unit:
Cd: 0.000 0.000 0.000 [4 per cell]
Ni: 0.250 0.250 0.250 [4 per cell]
Pd: 0.000 0.000 0.500 [4 per cell]
Pd: 0.250 0.250 0.750 [4 per cell]

=====

# 6
Compound: CdNiPd
Source: the Open Quantum Materials Database
Functional: PBE
Structure: optimized geometry

Values from the calculation:
Crystal system: cubic
Formation energy in meV per atom: 121
Magnetic moment in μB per atom: 0.006
Energy above the lowest structure with this stoichiometry in meV/atom: 0

abc: 5.924 5.924 5.924
angles: 90.00 90.00 90.00
Space group F-43m (No. 216)
Asymmetric unit:
Cd: 0.000 0.000 0.000 [4 per cell]
Ni: 0.250 0.250 0.250 [4 per cell]
Pd: 0.000 0.000 0.500 [4 per cell]

=====

# 7
Compound: CdNiSbPd
Source: the Open Quantum Materials Database
Functional: PBE
Structure: optimized geometry

Values from the calculation:
Crystal system: cubic
Magnetic moment in μB per atom: 0.000
Calculated total energy in eV per cell: -65.668

abc: 6.505 6.505 6.505
angles: 90.00 90.00 90.00
Space group F-43m (No. 216)
Asymmetric unit:
Cd: 0.000 0.000 0.000 [4 per cell]
Ni: 0.250 0.250 0.750 [4 per cell]
Sb: 0.000 0.000 0.500 [4 per cell]
Pd: 0.250 0.250 0.250 [4 per cell]

=====

# 8
Compound: Pm2CdNi2
Source: the Open Quantum Materials Database
Functional: PBE
Structure: optimized geometry

Values from the calculation:
Crystal system: tetragonal
Formation energy in meV per atom: -392
Magnetic moment in μB per atom: 0.000

abc: 7.463 7.463 3.806
angles: 90.00 90.00 90.00
Space group P4/mbm (No. 127)
Asymmetric unit:
Pm: 0.177 0.323 0.000 [4 per cell]
Cd: 0.000 0.000 0.500 [2 per cell]
Ni: 0.117 0.617 0.500 [4 per cell]

=====

# 9
Compound: Pm12CdNi6
Source: the Open Quantum Materials Database
Functional: PBE
Structure: optimized geometry

Values from the calculation:
Crystal system: cubic
Formation energy in meV per atom: -274
Magnetic moment in μB per atom: 0.001

abc: 9.955 9.955 9.955
angles: 90.00 90.00 90.00
Space group Im-3 (No. 204)
Asymmetric unit:
Pm: 0.000 0.186 0.306 [24 per cell]
Cd: 0.000 0.000 0.000 [2 per cell]
Ni: 0.000 0.378 0.500 [12 per cell]

=====

# 10
Compound: PmCdNi4
Source: the Open Quantum Materials Database
Functional: PBE
Structure: optimized geometry

Values from the calculation:
Crystal system: cubic
Formation energy in meV per atom: -313
Magnetic moment in μB per atom: 0.007

abc: 7.094 7.094 7.094
angles: 90.00 90.00 90.00
Space group F-43m (No. 216)
Asymmetric unit:
Pm: 0.000 0.000 0.000 [4 per cell]
Cd: 0.250 0.250 0.250 [4 per cell]
Ni: 0.124 0.124 0.624 [16 per cell]

=====

# 11
Compound: PrCd20Ni2
Source: the Open Quantum Materials Database
Functional: PBE
Structure: optimized geometry

Values from the calculation:
Crystal system: cubic
Formation energy in meV per atom: -109
Magnetic moment in μB per atom: 0.000

abc: 15.622 15.622 15.622
angles: 90.00 90.00 90.00
Space group Fd-3m (No. 227, origin choice 2)
Asymmetric unit:
Pr: 0.125 0.125 0.125 [8 per cell]
Cd: 0.000 0.000 0.000 [16 per cell]
Cd: 0.012 0.375 0.875 [48 per cell]
Cd: 0.060 0.060 0.325 [96 per cell]
Ni: 0.000 0.000 0.500 [16 per cell]

=====

# 12
Compound: PrCdNi4
Source: the Open Quantum Materials Database
Functional: PBE
Structure: optimized geometry

Values from the calculation:
Crystal system: cubic
Formation energy in meV per atom: -274
Magnetic moment in μB per atom: 0.010

abc: 7.146 7.146 7.146
angles: 90.00 90.00 90.00
Space group F-43m (No. 216)
Asymmetric unit:
Pr: 0.000 0.000 0.000 [4 per cell]
Cd: 0.250 0.250 0.750 [4 per cell]
Ni: 0.124 0.124 0.376 [16 per cell]

=====

> What is the formula in the twelfth record?

PrCdNi4

=====

> What is the formula in the third record?

CdNiTe3Pb

=====

> Which value of magnetic moment does entry 7 give?

0.000 μB per atom

=====

> Which value of magnetic moment does entry 4 give?

0.017 μB per atom